Compound: Pm4BeBi2
Source: Alexandria via LeMat-Bulk
Functional: PBE
Structure: relaxed

Results
The formation energy comes out at -8.603 kcal/mol of atoms. For the density of states at the Fermi level, the calculation gives 0.73 states/eV/atom. The calculated volume comes out at 31.6 Å³ per atom. For the magnetization, the calculation gives 0.000 μB/atom.

```
data_Pm4BeBi2
_cell_length_a 5.129
_cell_length_b 5.129
_cell_length_c 16.792
_cell_angle_alpha 90.00
_cell_angle_beta 90.00
_cell_angle_gamma 90.00
_symmetry_space_group_name_H-M 'I 4/m m m'
_symmetry_Int_Tables_number 139
_symmetry_space_group_name_Hall '-I 4 2'
loop_
_atom_site_label
_atom_site_fract_x
_atom_site_fract_y
_atom_site_fract_z
Pm1 0.000 0.000 0.168
Pm2 0.000 0.500 0.000
Be1 0.000 0.000 0.000
Bi1 0.000 0.000 0.362
```

Compound: Pr7PI12
Source: Alexandria via LeMat-Bulk
Functional: PBE
Structure: relaxed

Results
For the density of states at the Fermi level, the calculation gives 0.29 states/eV/atom. As for the formation energy from raw total energies: -1.405 eV per atom. The calculated volume comes out at 40.9 Å³ per atom. For the magnetization, the calculation gives 0.000 μB/atom.

```
data_Pr7PI12
_cell_length_a 16.1871
_cell_length_b 16.1871
_cell_length_c 10.8142
_cell_angle_alpha 90.00
_cell_angle_beta 90.00
_cell_angle_gamma 120.00
_symmetry_space_group_name_H-M 'R -3'
_symmetry_Int_Tables_number 148
_symmetry_space_group_name_Hall '-R 3'
loop_
_atom_site_label
_atom_site_fract_x
_atom_site_fract_y
_atom_site_fract_z
Pr1 0.0000 0.0000 0.0000
Pr2 0.0446 0.1599 0.3539
P1 0.0000 0.0000 0.5000
I1 0.0219 0.5867 0.1648
I2 0.0512 0.1834 0.8367
```

- What is the formula in the second record?
  Pr7PI12